Record 1
Below is a relaxed LaMo2Os crystal, with properties calculated at the PBE-GGA level.

The energy of formation from the pure elements comes out at 0.467 eV/atom. The calculation puts the total magnetization at 0.000 μB/f.u. As for the relative energy among the computed polymorphs: 113.8 meV/atom.

a b c (Å): 9.5507 3.1370 5.7435
angles (deg): 90.00 108.17 90.00
Space group Cm (No. 8)
Inequivalent atoms, fractional coordinates:
La1 0.0000 0.0000 0.0000
Mo1 0.0110 0.5000 0.5157
Mo2 0.2910 0.5000 0.3378
Os1 0.2377 0.0000 0.6680

***

Record 2
Below is a relaxed BaLaCl2 crystal, with properties calculated at the PBE-GGA level.

As for the energy relative to the elements, uncorrected: -1.54 eV per atom. The calculation puts the total magnetization at 0.002 μB/f.u. As for the relative energy among the computed polymorphs: 53.6 meV/atom.

a b c (Å): 4.3131 6.1373 4.3233
angles (deg): 90.00 90.00 90.00
Space group Pmm2 (No. 25)
Inequivalent atoms, fractional coordinates:
Ba1 0.0000 0.0000 0.0000
La1 0.5000 0.5000 0.4986
Cl1 0.0000 0.5000 0.9986
Cl2 0.5000 0.0000 0.5000

***

Record 3
Below is a relaxed ZnCd2Ga crystal, with properties calculated at the PBE-GGA level.

The energy of formation from the pure elements comes out at 0.086 eV/atom. The calculation puts the total magnetization at 0.000 μB/f.u.

a b c (Å): 4.3262 4.3262 4.2636
angles (deg): 90.00 90.00 90.00
Space group P4/mmm (No. 123)
Inequivalent atoms, fractional coordinates:
Zn1 0.0000 0.0000 0.0000
Cd1 0.0000 0.5000 0.5000
Ga1 0.5000 0.5000 0.0000

***

Record 4
Below is a relaxed CdHgAs2 crystal, with properties calculated at the PBE-GGA level.

The energy of formation from the pure elements comes out at 0.163 eV/atom. The calculation puts the total magnetization at 0.000 μB/f.u. As for the relative energy among the computed polymorphs: 140.9 meV/atom.

a b c (Å): 3.0225 5.5162 5.4827
angles (deg): 90.00 99.19 90.00
Space group Pm (No. 6)
Inequivalent atoms, fractional coordinates:
Cd1 0.0000 0.0000 0.0000
Hg1 0.5058 0.5000 0.9658
As1 0.6300 0.5000 0.4761
As2 0.6552 0.0000 0.4763

***

Record 5
Below is a relaxed SrSeN2F crystal, with properties calculated at the PBE-GGA level.

As for the energy relative to the elements, uncorrected: 0.93 eV per atom. The calculation puts the total magnetization at 4.927 μB/f.u. As for the relative energy among the computed polymorphs: 1169.4 meV/atom.

a b c (Å): 4.7776 4.7776 4.0621
angles (deg): 90.00 90.00 90.00
Space group P4/mmm (No. 123)
Inequivalent atoms, fractional coordinates:
Sr1 0.0000 0.0000 0.0000
Se1 0.5000 0.5000 0.0000
N1 0.0000 0.5000 0.5000
F1 0.5000 0.5000 0.5000

***

Record 6
Below is a relaxed PuUTc3 crystal, with properties calculated at the PBE-GGA level.

The energy of formation from the pure elements comes out at 0.090 eV/atom. The calculation puts the total magnetization at 3.839 μB/f.u.

a b c (Å): 5.0757 5.4390 7.1020
angles (deg): 109.55 104.20 96.85
Space group P1 (No. 1)
Inequivalent atoms, fractional coordinates:
Pu1 0.0000 0.0000 0.0000
Pu2 0.1510 0.5676 0.2002
U1 0.1519 0.0998 0.4032
U2 0.6894 0.4080 0.3189
Tc1 0.0670 0.3753 0.7592
Tc2 0.1438 0.8086 0.6627
Tc3 0.5386 0.2700 0.9287
Tc4 0.5506 0.8129 0.0822
Tc5 0.5873 0.5528 0.6659
Tc6 0.6299 0.9788 0.5491

***

Record 7
Below is a relaxed ZnFe2Os crystal, with properties calculated at the PBE-GGA level.

The energy of formation from the pure elements comes out at 0.196 eV/atom. The calculation puts the total magnetization at 5.205 μB/f.u.

a b c (Å): 4.6214 2.6065 4.6279
angles (deg): 90.00 110.47 90.00
Space group P2/m (No. 10)
Inequivalent atoms, fractional coordinates:
Zn1 0.0000 0.0000 0.0000
Fe1 0.5000 0.0000 0.5000
Fe2 0.5000 0.5000 0.0000
Os1 0.0000 0.5000 0.5000

***

Record 8
Below is a relaxed H2Pd9Pb3Se crystal, with properties calculated at the PBE-GGA level.

As for the total energy: -71.10 eV for the cell shown. The calculation puts the total magnetization at 0.000 μB/f.u.

a b c (Å): 5.8214 5.8214 8.4916
angles (deg): 90.00 90.00 120.00
Space group P-3m1 (No. 164)
Inequivalent atoms, fractional coordinates:
H1 0.3333 0.6667 0.1325
Pd1 0.0000 0.5000 0.0000
Pd2 0.1700 0.3399 0.2755
Pb1 0.0000 0.0000 0.0000
Pb2 0.3333 0.6667 0.6619
Se1 0.0000 0.0000 0.5000

***

Record 9
Below is a relaxed Zr2ZnCl crystal, with properties calculated at the PBE-GGA level.

As for the energy relative to the elements, uncorrected: -0.44 eV per atom. The calculation puts the total magnetization at 0.000 μB/f.u. As for the relative energy among the computed polymorphs: 41.9 meV/atom.

a b c (Å): 3.1495 3.1495 9.5163
angles (deg): 90.00 90.00 90.00
Space group P4mm (No. 99)
Inequivalent atoms, fractional coordinates:
Zr1 0.0000 0.0000 0.0000
Zr2 0.5000 0.5000 0.2488
Zn1 0.5000 0.5000 0.8033
Cl1 0.0000 0.0000 0.4223

***

Record 10
Below is a relaxed Np2H2O7 crystal, with properties calculated at the PBE-GGA level.

As for the total energy: -90.68 eV for the cell shown. The calculation puts the total magnetization at 2.000 μB/f.u.

a b c (Å): 5.6583 5.8033 6.1191
angles (deg): 106.39 99.04 112.73
Space group P1 (No. 1)
Inequivalent atoms, fractional coordinates:
Np1 0.0000 0.0000 0.0000
Np2 0.3710 0.6622 0.0668
H1 0.4863 0.8909 0.6301
H2 0.5095 0.6254 0.5160
O1 0.0471 0.3146 0.8549
O2 0.1587 0.7976 0.2243
O3 0.2154 0.8692 0.8374
O4 0.3238 0.3507 0.2262
O5 0.6039 0.5763 0.9081
O6 0.6130 0.8251 0.5796
O7 0.7637 0.0685 0.1698

***

Record 11
Below is a relaxed La4AlCr crystal, with properties calculated at the PBE-GGA level.

The energy of formation from the pure elements comes out at 0.586 eV/atom. The calculation puts the total magnetization at 4.609 μB/f.u.

a b c (Å): 9.1151 9.1151 9.1151
angles (deg): 90.00 90.00 90.00
Space group F-43m (No. 216)
Inequivalent atoms, fractional coordinates:
La1 0.1238 0.1238 0.1238
Al1 0.2500 0.2500 0.7500
Cr1 0.0000 0.0000 0.5000

***

Record 12
Below is a relaxed ThTi2AlIr4 crystal, with properties calculated at the PBE-GGA level.

The energy of formation from the pure elements comes out at -0.868 eV/atom. The calculation puts the total magnetization at 0.000 μB/f.u.

a b c (Å): 4.3182 4.3182 25.7966
angles (deg): 90.00 90.00 120.00
Space group R-3m (No. 166, hexagonal axes)
Inequivalent atoms, fractional coordinates:
Th1 0.0000 0.0000 0.0000
Ti1 0.0000 0.0000 0.2375
Al1 0.0000 0.0000 0.5000
Ir1 0.0000 0.0000 0.1335
Ir2 0.0000 0.0000 0.4017